Entry from Alexandria: a relaxed NdMnFeBiO6 crystal (GGA+U).

The space group is P2_1 (No. 4) and the conventional cell measures 3.842, 8.282 and 8.344 Å, with angles of 90.00, 90.56 and 90.00 degrees. The distinct sites, in fractional coordinates, are Nd at (0.028, 0.000, 0.008), Mn at (0.486, 0.303, 0.243), Fe at (0.482, 0.265, 0.751), Bi at (0.083, 0.003, 0.447), O at (0.015, 0.797, 0.793), O at (0.015, 0.827, 0.255), O at (0.473, 0.069, 0.258), O at (0.475, 0.324, 0.975), O at (0.486, 0.330, 0.510) and O at (0.495, 0.041, 0.792).

The crystal system is monoclinic. The calculation puts the energy at -0.5135 Ry/atom. Its calculated volume is 133 Å³/f.u. The value obtained for the offset from the most stable computed form is 57 meV/atom. Its size of the total moment is 18.00 μB/cell.